[1]
{"formula": "Pr3Sm6HoEr2", "functional": "PBE", "state": "relaxed", "lattice": [[3.1388, -5.4378, 0.0000], [3.1388, 5.4378, 0.0000], [-2.0952, 0.0000, 11.8082]], "species": ["Pr", "Pr", "Pr", "Sm", "Sm", "Sm", "Sm", "Sm", "Sm", "Ho", "Er", "Er"], "fractional_positions": [[0.0000, 0.0000, 0.0000], [0.3333, 0.6667, 0.0000], [0.6667, 0.3333, 0.0000], [0.0846, 0.4181, 0.2557], [0.2485, 0.2485, 0.7443], [0.4181, 0.0846, 0.2557], [0.5819, 0.9154, 0.7443], [0.7515, 0.7515, 0.2557], [0.9154, 0.5819, 0.7443], [0.5000, 0.5000, 0.5000], [0.1667, 0.8333, 0.5000], [0.8333, 0.1667, 0.5000]], "dos_at_fermi_per_ev_fu": 16.77, "sg": "No. 12", "dft_energy_ev_per_atom": -4.677, "total_magnetization_mub_per_cell": 0.00, "ef_ev_per_atom": 0.0193}

=====

[2]
{"formula": "Pr4SmHo2Er", "functional": "PBE", "state": "relaxed", "lattice": [[5.1553, 0.0000, 0.0000], [0.0000, 5.1837, 0.0000], [0.0000, 0.0000, 10.1089]], "species": ["Pr", "Pr", "Pr", "Pr", "Sm", "Ho", "Ho", "Er"], "fractional_positions": [[0.0000, 0.0000, 0.2482], [0.0000, 0.0000, 0.7518], [0.5000, 0.5000, 0.2478], [0.5000, 0.5000, 0.7522], [0.0000, 0.5000, 0.5000], [0.0000, 0.5000, 0.0000], [0.5000, 0.0000, 0.5000], [0.5000, 0.0000, 0.0000]], "dos_at_fermi_per_ev_fu": 10.51, "sg": "No. 47", "dft_energy_ev_per_atom": -4.678, "total_magnetization_mub_per_cell": 0.00, "ef_ev_per_atom": 0.0161}

=====

[3]
{"formula": "PrSm6Ho2Er3", "functional": "PBE", "state": "relaxed", "lattice": [[3.1099, -5.3847, 0.0000], [3.1099, 5.3847, 0.0000], [-2.0672, 0.0000, 11.6679]], "species": ["Pr", "Sm", "Sm", "Sm", "Sm", "Sm", "Sm", "Ho", "Ho", "Er", "Er", "Er"], "fractional_positions": [[0.0000, 0.0000, 0.0000], [0.0843, 0.4186, 0.2524], [0.2499, 0.2499, 0.7477], [0.4186, 0.0843, 0.2524], [0.5814, 0.9157, 0.7476], [0.7501, 0.7501, 0.2523], [0.9157, 0.5814, 0.7476], [0.3333, 0.6667, 0.0000], [0.6667, 0.3333, 0.0000], [0.1670, 0.8330, 0.5000], [0.5000, 0.5000, 0.5000], [0.8330, 0.1670, 0.5000]], "dos_at_fermi_per_ev_fu": 14.61, "sg": "No. 12", "dft_energy_ev_per_atom": -4.645, "total_magnetization_mub_per_cell": 0.00, "ef_ev_per_atom": 0.0167}

=====

[4]
{"formula": "PrSm3Ho6Er2", "functional": "PBE", "state": "relaxed", "lattice": [[3.0865, -5.3424, 0.0000], [3.0865, 5.3424, 0.0000], [-2.0486, 0.0000, 11.6048]], "species": ["Pr", "Sm", "Sm", "Sm", "Ho", "Ho", "Ho", "Ho", "Ho", "Ho", "Er", "Er"], "fractional_positions": [[0.0000, 0.0000, 0.0000], [0.1669, 0.8330, 0.5000], [0.5000, 0.5000, 0.5000], [0.8330, 0.1669, 0.5000], [0.0835, 0.4178, 0.2490], [0.2509, 0.2509, 0.7511], [0.4178, 0.0835, 0.2490], [0.5822, 0.9165, 0.7510], [0.7491, 0.7491, 0.2489], [0.9165, 0.5822, 0.7510], [0.3332, 0.6668, 0.0000], [0.6668, 0.3332, 0.0000]], "dos_at_fermi_per_ev_fu": 15.00, "sg": "No. 12", "dft_energy_ev_per_atom": -4.610, "total_magnetization_mub_per_cell": 0.00, "ef_ev_per_atom": 0.0177}

=====

[5]
{"formula": "Pr2SmHo6Er", "functional": "PBE", "state": "relaxed", "lattice": [[4.5159, -7.5109, 0.0000], [4.5159, 7.5109, 0.0000], [-1.5423, 0.0000, 9.6029]], "species": ["Pr", "Pr", "Pr", "Pr", "Sm", "Sm", "Ho", "Ho", "Ho", "Ho", "Ho", "Ho", "Ho", "Ho", "Ho", "Ho", "Ho", "Ho", "Er", "Er"], "fractional_positions": [[0.1940, 0.2956, 0.0426], [0.2956, 0.1940, 0.5426], [0.7044, 0.8060, 0.4574], [0.8060, 0.7044, 0.9574], [0.0170, 0.9830, 0.2500], [0.9830, 0.0170, 0.7500], [0.0207, 0.5741, 0.1873], [0.1232, 0.7402, 0.5574], [0.2598, 0.8768, 0.9426], [0.2951, 0.5073, 0.3812], [0.4259, 0.9793, 0.3127], [0.4927, 0.7049, 0.1188], [0.5073, 0.2951, 0.8812], [0.5741, 0.0207, 0.6873], [0.7049, 0.4927, 0.6188], [0.7402, 0.1232, 0.0574], [0.8768, 0.2598, 0.4426], [0.9793, 0.4259, 0.8127], [0.4067, 0.5933, 0.7500], [0.5933, 0.4067, 0.2500]], "dos_at_fermi_per_ev_fu": 13.70, "sg": "No. 15", "dft_energy_ev_per_atom": -4.514, "total_magnetization_mub_per_cell": 0.00, "ef_ev_per_atom": 0.1172}

=====

[6]
{"formula": "Pr2SmHoEr5", "functional": "PBE", "state": "relaxed", "lattice": [[-4.3296, 4.3296, 7.7892], [4.3296, -4.3296, 7.7892], [4.3296, 4.3296, -7.7892]], "species": ["Pr", "Pr", "Pr", "Pr", "Sm", "Sm", "Ho", "Ho", "Er", "Er", "Er", "Er", "Er", "Er", "Er", "Er", "Er", "Er"], "fractional_positions": [[0.1178, 0.6178, 0.7357], [0.3822, 0.1178, 0.5000], [0.6178, 0.8822, 0.5000], [0.8822, 0.3822, 0.2643], [0.2500, 0.2500, 0.0000], [0.7500, 0.7500, 0.0000], [0.2500, 0.7500, 0.5000], [0.7500, 0.2500, 0.5000], [0.0000, 0.0000, 0.0000], [0.0722, 0.1480, 0.5000], [0.1480, 0.6480, 0.0758], [0.3520, 0.4278, 0.5000], [0.4278, 0.9278, 0.0758], [0.5000, 0.5000, 0.0000], [0.5722, 0.0722, 0.9242], [0.6480, 0.5722, 0.5000], [0.8520, 0.3520, 0.9242], [0.9278, 0.8520, 0.5000]], "dos_at_fermi_per_ev_fu": 10.47, "sg": "No. 140", "dft_energy_ev_per_atom": -4.362, "total_magnetization_mub_per_cell": 0.00, "ef_ev_per_atom": 0.2675}

=====

[7]
{"formula": "Pr3Sm6Ho2Er", "functional": "PBE", "state": "relaxed", "lattice": [[3.1399, -5.4396, 0.0000], [3.1399, 5.4396, 0.0000], [-2.0953, 0.0000, 11.8144]], "species": ["Pr", "Pr", "Pr", "Sm", "Sm", "Sm", "Sm", "Sm", "Sm", "Ho", "Ho", "Er"], "fractional_positions": [[0.0000, 0.0000, 0.0000], [0.3333, 0.6667, 0.0000], [0.6667, 0.3333, 0.0000], [0.0850, 0.4182, 0.2556], [0.2486, 0.2486, 0.7445], [0.4182, 0.0850, 0.2556], [0.5818, 0.9150, 0.7444], [0.7514, 0.7514, 0.2555], [0.9150, 0.5818, 0.7444], [0.1666, 0.8334, 0.5000], [0.8334, 0.1666, 0.5000], [0.5000, 0.5000, 0.5000]], "dos_at_fermi_per_ev_fu": 16.84, "sg": "No. 12", "dft_energy_ev_per_atom": -4.679, "total_magnetization_mub_per_cell": 0.00, "ef_ev_per_atom": 0.0188}

=====

[8]
{"formula": "Pr6Sm2HoEr3", "functional": "PBE", "state": "relaxed", "lattice": [[3.1567, -5.4682, 0.0000], [3.1567, 5.4682, 0.0000], [-2.0993, 0.0000, 11.7257]], "species": ["Pr", "Pr", "Pr", "Pr", "Pr", "Pr", "Sm", "Sm", "Ho", "Er", "Er", "Er"], "fractional_positions": [[0.0842, 0.4169, 0.7524], [0.2486, 0.2486, 0.2474], [0.4169, 0.0842, 0.7524], [0.5831, 0.9158, 0.2476], [0.7514, 0.7514, 0.7526], [0.9158, 0.5831, 0.2476], [0.3332, 0.6668, 0.5000], [0.6668, 0.3332, 0.5000], [0.0000, 0.0000, 0.5000], [0.1666, 0.8334, 0.0000], [0.5000, 0.5000, 0.0000], [0.8334, 0.1666, 0.0000]], "dos_at_fermi_per_ev_fu": 13.39, "sg": "No. 12", "dft_energy_ev_per_atom": -4.685, "total_magnetization_mub_per_cell": 0.00, "ef_ev_per_atom": 0.0132}

=====

Calculated calculated volume in order - 403, 270, 391, 383, 651, 584, 404, 405 Å³ per cell